Record 1
VASP calculation (PBE) on a geometry-optimized InPN2 structure.

The structure in extended XYZ format:
```
4
Lattice="1.618 0.000 6.614 -0.809 1.401 6.614 -0.809 -1.401 6.614" Properties=species:S:1:pos:R:3 pbc="T T T"
P 0.000 0.000 9.920
N 0.000 0.000 2.378
N 0.000 0.000 17.463
In 0.000 0.000 0.000
```

=====

Record 2
VASP calculation (PBE) on a geometry-optimized InP2N structure.

The structure in extended XYZ format:
```
4
Lattice="-3.299 -1.718 2.441 -3.293 2.618 1.446 -4.078 -0.393 -1.734" Properties=species:S:1:pos:R:3 pbc="T T T"
In -5.335 0.254 1.077
P -8.003 0.381 1.615
P -2.668 0.127 0.538
N 0.000 0.000 0.000
```

=====

Record 3
VASP calculation (PBE) on a geometry-optimized InP2N4 structure.

The structure in extended XYZ format:
```
7
Lattice="0.731 -1.009 -3.715 3.740 -0.712 0.930 -3.572 -4.578 2.606" Properties=species:S:1:pos:R:3 pbc="T T T"
N 1.029 -2.774 -2.147
N 0.236 -4.030 0.105
N -2.006 -3.168 1.501
N 2.538 -2.625 0.182
P 1.201 -3.075 1.071
P -0.303 -3.224 -1.251
In 2.236 -0.860 -1.393
```

=====

| no. | E_tot (eV per atom) | raw formation energy (meV/atom) |
| --- | --- | --- |
| 1 | -6.105 | 95 |
| 2 | -3.968 | 1503 |
| 3 | -6.640 | 54 |